(1)
! ZnPd2Se4 (PBE-GGA, relaxed); values from VASP
! * ΔE_f (raw): -0.32 eV/atom
&SYSTEM
  ibrav = 0, nat = 28, ntyp = 3
/
ATOMIC_SPECIES
Se 78.96 Se.upf
Pd 106.42 Pd.upf
Zn 65.41 Zn.upf
CELL_PARAMETERS angstrom
7.585 0.000 0.000
-3.792 6.207 -2.152
0.000 -0.067 13.129
ATOMIC_POSITIONS crystal
Se 0.870 0.240 0.109
Pd 0.500 0.500 0.500
Pd 0.250 0.000 0.250
Pd 0.750 0.000 0.750
Pd 0.000 0.000 0.500
Se 0.142 0.784 0.381
Zn 0.938 0.376 0.313
Se 0.642 0.239 0.881
Se 0.630 0.760 0.391
Zn 0.062 0.624 0.687
Se 0.358 0.761 0.119
Se 0.903 0.761 0.119
Pd 0.500 0.000 0.500
Se 0.642 0.784 0.881
Pd 0.000 0.500 0.000
Se 0.598 0.239 0.381
Se 0.142 0.239 0.381
Zn 0.563 0.624 0.187
Zn 0.437 0.376 0.813
Pd 0.500 0.000 0.000
Se 0.370 0.240 0.609
Se 0.858 0.761 0.619
Se 0.858 0.216 0.619
Se 0.130 0.760 0.891
Pd 0.000 0.000 0.000
Se 0.358 0.216 0.119
Se 0.097 0.239 0.881
Se 0.402 0.761 0.619

***

(2)
! Tl8Hg3Te2 (PBE-GGA, relaxed); values from VASP
! * ΔE_f (raw): -0.08 eV/atom
&SYSTEM
  ibrav = 0, nat = 13, ntyp = 3
/
ATOMIC_SPECIES
Hg 200.59 Hg.upf
Tl 204.38 Tl.upf
Te 127.60 Te.upf
CELL_PARAMETERS angstrom
-1.732 -5.331 -0.199
7.996 -2.410 -5.005
8.398 -2.877 3.993
ATOMIC_POSITIONS crystal
Hg 0.000 0.319 0.680
Tl 0.500 0.181 0.597
Te 0.500 0.780 0.780
Tl 0.500 0.597 0.181
Hg 0.500 0.000 0.000
Tl 0.500 0.403 0.819
Hg 0.000 0.681 0.320
Tl 0.000 0.892 0.892
Te 0.500 0.220 0.220
Tl 0.000 0.332 0.331
Tl 0.000 0.668 0.669
Tl 0.000 0.108 0.108
Tl 0.500 0.819 0.403

***

(3)
! TaTe2RhI (PBE-GGA, relaxed); values from VASP
! * ΔE_f (raw): 0.89 eV/atom
&SYSTEM
  ibrav = 0, nat = 5, ntyp = 4
/
ATOMIC_SPECIES
I 126.90 I.upf
Te 127.60 Te.upf
Ta 180.95 Ta.upf
Rh 102.91 Rh.upf
CELL_PARAMETERS angstrom
5.349 0.000 0.000
0.000 5.349 0.000
0.000 0.000 5.592
ATOMIC_POSITIONS crystal
I 0.000 0.000 0.500
Te 0.500 0.000 0.000
Ta 0.000 0.000 0.000
Te 0.000 0.500 0.000
Rh 0.500 0.500 0.500

***

(4)
! AcPmNd2Dy (PBE-GGA, relaxed); values from VASP
! * formation enthalpy at 0 K: 0.04 eV per atom
&SYSTEM
  ibrav = 0, nat = 10, ntyp = 4
/
ATOMIC_SPECIES
Ac 227.00 Ac.upf
Pm 145.00 Pm.upf
Dy 162.50 Dy.upf
Nd 144.24 Nd.upf
CELL_PARAMETERS angstrom
-1.226 5.399 2.208
-5.036 0.527 -4.085
-8.155 -3.645 4.388
ATOMIC_POSITIONS crystal
Ac 0.750 0.568 0.198
Pm 0.750 0.360 0.599
Dy 0.250 0.840 0.999
Nd 0.250 0.039 0.596
Nd 0.750 0.961 0.404
Nd 0.750 0.772 0.800
Ac 0.250 0.432 0.802
Nd 0.250 0.228 0.200
Dy 0.750 0.160 0.001
Pm 0.250 0.640 0.401

***

(5)
! Sc2TaTe (PBE-GGA, relaxed); values from VASP
! * ΔE_f (raw): 0.00 eV/atom
&SYSTEM
  ibrav = 0, nat = 4, ntyp = 3
/
ATOMIC_SPECIES
Te 127.60 Te.upf
Sc 44.96 Sc.upf
Ta 180.95 Ta.upf
CELL_PARAMETERS angstrom
0.000 3.460 3.460
3.460 0.000 3.460
3.460 3.460 0.000
ATOMIC_POSITIONS crystal
Te 0.000 0.000 0.000
Sc 0.250 0.250 0.250
Ta 0.500 0.500 0.500
Sc 0.750 0.750 0.750

***

(6)
! Li7PdAu2 (PBE-GGA, relaxed); values from VASP
! * formation enthalpy at 0 K: -0.34 eV per atom
&SYSTEM
  ibrav = 0, nat = 10, ntyp = 3
/
ATOMIC_SPECIES
Li 6.94 Li.upf
Au 196.97 Au.upf
Pd 106.42 Pd.upf
CELL_PARAMETERS angstrom
-3.183 -2.944 0.532
2.316 1.360 3.445
-6.492 7.289 1.488
ATOMIC_POSITIONS crystal
Li 0.667 0.333 0.549
Au 0.333 0.667 0.647
Pd 0.000 0.000 0.052
Li 0.000 0.000 0.327
Li 0.000 0.000 0.750
Au 0.667 0.333 0.248
Li 0.667 0.333 0.971
Li 0.333 0.667 0.900
Li 0.333 0.667 0.145
Li 0.333 0.667 0.395

***

(7)
! LuBiPd2 (PBE-GGA, relaxed); values from VASP
! * formation enthalpy at 0 K: -0.73 eV per atom
&SYSTEM
  ibrav = 0, nat = 4, ntyp = 3
/
ATOMIC_SPECIES
Lu 174.97 Lu.upf
Pd 106.42 Pd.upf
Bi 208.98 Bi.upf
CELL_PARAMETERS angstrom
-2.370 4.245 0.034
-1.622 1.845 4.196
2.111 3.948 1.896
ATOMIC_POSITIONS crystal
Lu 0.500 0.500 0.500
Pd 0.250 0.250 0.250
Bi 0.000 0.000 0.000
Pd 0.750 0.750 0.750

***

(8)
! AlGa2Au6 (PBE-GGA, relaxed); values from VASP
! * formation enthalpy at 0 K: -0.15 eV per atom
&SYSTEM
  ibrav = 0, nat = 9, ntyp = 3
/
ATOMIC_SPECIES
Au 196.97 Au.upf
Ga 69.72 Ga.upf
Al 26.98 Al.upf
CELL_PARAMETERS angstrom
-3.217 -1.015 2.130
2.999 -5.922 1.707
0.864 5.540 3.944
ATOMIC_POSITIONS crystal
Au 0.000 0.000 0.256
Au 0.000 0.257 0.000
Au 0.000 0.744 0.744
Au 0.500 0.398 0.398
Ga 0.000 0.333 0.666
Ga 0.000 0.667 0.334
Au 0.500 0.000 0.602
Au 0.500 0.602 0.000
Al 0.500 0.000 0.000

***

| no. | E_tot (eV/cell) |
| --- | --- |
| 1 | -111.4 |
| 2 | -27.1 |
| 3 | -22.6 |
| 4 | -45.6 |
| 5 | -27.7 |
| 6 | -28.5 |
| 7 | -21.7 |
| 8 | -30.8 |